[1]
A plane-wave DFT calculation with PBE was carried out for HoTm3Co after structural relaxation.

Geometry as POSCAR:
```
HoTm3Co
1.0
5.196 0.000 0.000
0.000 5.196 0.000
0.000 0.000 5.196
Tm Ho Co
3 1 1
Direct
0.500 0.000 0.000 Tm
0.000 0.000 0.500 Tm
0.000 0.500 0.000 Tm
0.500 0.500 0.500 Ho
0.000 0.000 0.000 Co
```

Computed properties:
DFT formation energy (eV/atom): -0.0331
N(E_F) (states/eV/f.u.): 7.18

***

[2]
A plane-wave DFT calculation with PBE was carried out for Ca2Si2Pb after structural relaxation.

Geometry as POSCAR:
```
Ca2Si2Pb
1.0
-2.561 -3.061 2.777
4.083 -1.373 2.253
0.005 1.978 6.441
Pb Ca Si
1 2 2
Direct
0.000 0.000 0.000 Pb
0.250 0.750 0.500 Ca
0.750 0.250 0.500 Ca
0.402 0.402 0.197 Si
0.598 0.598 0.803 Si
```

Computed properties:
Energy relative to the elements, uncorrected (eV/atom): -0.04
N(E_F) (states/eV/f.u.): 4.52

***

[3]
A plane-wave DFT calculation with PBE was carried out for KZnCd2 after structural relaxation.

Geometry as POSCAR:
```
KZnCd2
1.0
4.785 0.000 0.000
2.392 4.144 0.000
2.392 1.381 6.243
K Cd Zn
1 2 1
Direct
0.495 0.495 0.514 K
0.019 0.019 0.943 Cd
0.300 0.300 0.100 Cd
0.685 0.685 0.944 Zn
```

Computed properties:
DFT formation energy (eV/atom): -0.0201
N(E_F) (states/eV/f.u.): 1.93

***

[4]
A plane-wave DFT calculation with PBE was carried out for BeTl2Ag after structural relaxation.

Geometry as POSCAR:
```
BeTl2Ag
1.0
3.430 0.000 0.000
0.000 3.431 0.000
0.000 0.000 7.249
Be Ag Tl
1 1 2
Direct
0.500 0.500 0.750 Be
0.500 0.500 0.250 Ag
0.000 0.000 0.978 Tl
0.000 0.000 0.522 Tl
```

Computed properties:
DFT formation energy (eV/atom): 0.4932
N(E_F) (states/eV/f.u.): 0.90

***

[5]
A plane-wave DFT calculation with PBE was carried out for BaFe2PdCl8 after structural relaxation.

Geometry as POSCAR:
```
BaFe2PdCl8
1.0
7.249 0.000 0.000
-3.624 6.277 0.000
0.000 0.000 8.186
Ba Fe Cl Pd
1 2 8 1
Direct
0.000 0.000 0.500 Ba
0.667 0.333 0.291 Fe
0.333 0.667 0.709 Fe
0.327 0.163 0.203 Cl
0.163 0.837 0.797 Cl
0.333 0.667 0.440 Cl
0.673 0.837 0.797 Cl
0.837 0.163 0.203 Cl
0.667 0.333 0.560 Cl
0.163 0.327 0.797 Cl
0.837 0.673 0.203 Cl
0.000 0.000 0.000 Pd
```

Computed properties:
Energy relative to the elements, uncorrected (eV/atom): -1.04
N(E_F) (states/eV/f.u.): 8.91

***

[6]
A plane-wave DFT calculation with PBE was carried out for TcPHOs after structural relaxation.

Geometry as POSCAR:
```
TcPHOs
1.0
2.851 0.000 0.003
0.000 2.862 0.000
-0.045 0.000 5.630
H Os Tc P
1 1 1 1
Direct
0.464 0.500 0.708 H
0.839 0.000 0.788 Os
0.347 0.500 0.117 Tc
0.852 0.000 0.367 P
```

Computed properties:
N(E_F) (states/eV/f.u.): 2.32

***

[7]
A plane-wave DFT calculation with PBE was carried out for SrLiCeS4 after structural relaxation.

Geometry as POSCAR:
```
SrLiCeS4
1.0
-5.016 -0.042 2.272
2.311 -4.526 5.018
4.511 6.073 3.400
S Sr Ce Li
8 2 2 2
Direct
0.053 0.750 0.106 S
0.500 0.500 0.500 S
0.000 0.500 0.500 S
0.000 0.000 0.500 S
0.947 0.250 0.894 S
0.421 0.750 0.841 S
0.579 0.250 0.159 S
0.500 0.000 0.500 S
0.610 0.750 0.219 Sr
0.390 0.250 0.781 Sr
0.884 0.750 0.768 Ce
0.116 0.250 0.232 Ce
0.732 0.250 0.465 Li
0.268 0.750 0.535 Li
```

Computed properties:
Energy relative to the elements, uncorrected (eV/atom): -1.48
N(E_F) (states/eV/f.u.): 2.98

***

[8]
A plane-wave DFT calculation with PBE was carried out for MgAgTe2 after structural relaxation.

Geometry as POSCAR:
```
MgAgTe2
1.0
-4.859 0.435 2.273
-1.936 -1.684 -3.817
-0.098 -4.551 0.661
Te Ag Mg
2 1 1
Direct
0.500 0.349 0.349 Te
0.000 0.904 0.904 Te
0.000 0.503 0.503 Ag
0.500 0.743 0.743 Mg
```

Computed properties:
Energy relative to the elements, uncorrected (eV/atom): -0.37
N(E_F) (states/eV/f.u.): 1.76

***

[9]
A plane-wave DFT calculation with PBE was carried out for Mg6Ag5Sb after structural relaxation.

Geometry as POSCAR:
```
Mg6Ag5Sb
1.0
4.474 0.029 -1.283
-0.973 6.242 -3.252
0.013 0.246 8.234
Mg Ag Sb
6 5 1
Direct
0.174 0.914 0.345 Mg
0.826 0.086 0.655 Mg
0.174 0.431 0.345 Mg
0.500 0.730 0.000 Mg
0.500 0.270 0.000 Mg
0.826 0.569 0.655 Mg
0.670 0.667 0.334 Ag
0.331 0.833 0.667 Ag
0.000 0.500 0.000 Ag
0.669 0.167 0.333 Ag
0.330 0.333 0.666 Ag
0.000 0.000 0.000 Sb
```

Computed properties:
Energy relative to the elements, uncorrected (eV/atom): -0.21
N(E_F) (states/eV/f.u.): 3.50

***

[10]
A plane-wave DFT calculation with PBE was carried out for NaP2H8 after structural relaxation.

Geometry as POSCAR:
```
NaP2H8
1.0
-5.305 -0.462 -2.375
-3.404 -1.419 3.117
-3.204 3.144 1.781
H Na P
8 1 2
Direct
0.758 0.539 0.108 H
0.242 0.461 0.892 H
0.806 0.325 0.325 H
0.194 0.675 0.675 H
0.242 0.892 0.461 H
0.758 0.108 0.539 H
0.215 0.396 0.396 H
0.785 0.604 0.604 H
0.000 0.000 0.000 Na
0.387 0.206 0.206 P
0.613 0.794 0.794 P
```

Computed properties:
N(E_F) (states/eV/f.u.): 0.38

***

[11]
A plane-wave DFT calculation with PBE was carried out for BaAlHg after structural relaxation.

Geometry as POSCAR:
```
BaAlHg
1.0
-2.671 -3.136 2.808
-1.645 -2.057 -3.862
6.523 -5.446 0.122
Hg Ba Al
2 2 2
Direct
0.812 0.216 0.005 Hg
0.812 0.716 0.788 Hg
0.312 0.216 0.637 Ba
0.312 0.716 0.155 Ba
0.812 0.716 0.466 Al
0.812 0.216 0.327 Al
```

Computed properties:
DFT formation energy (eV/atom): -0.3165
N(E_F) (states/eV/f.u.): 2.78

***

[12]
A plane-wave DFT calculation with PBE was carried out for CaLaBrN after structural relaxation.

Geometry as POSCAR:
```
CaLaBrN
1.0
-2.730 1.546 -2.065
2.941 -1.619 -1.686
-2.719 -6.876 1.863
N La Br Ca
1 1 1 1
Direct
0.311 0.553 0.879 N
0.517 0.156 0.688 La
0.959 0.378 0.351 Br
0.092 0.944 0.051 Ca
```

Computed properties:
Energy relative to the elements, uncorrected (eV/atom): -1.38
N(E_F) (states/eV/f.u.): 1.03

***

[13]
A plane-wave DFT calculation with PBE was carried out for Co2Ir after structural relaxation.

Geometry as POSCAR:
```
Co2Ir
1.0
-1.652 -2.784 4.618
1.792 -1.486 5.137
-0.768 3.709 -4.179
Ir Co
1 2
Direct
0.333 0.333 0.000 Ir
0.660 0.660 0.000 Co
0.007 0.007 0.000 Co
```

Computed properties:
DFT formation energy (eV/atom): 0.0662
N(E_F) (states/eV/f.u.): 4.16

***

[14]
A plane-wave DFT calculation with PBE was carried out for SrFe3Te after structural relaxation.

Geometry as POSCAR:
```
SrFe3Te
1.0
-2.344 -0.338 4.208
-2.550 -3.722 -1.719
3.364 -3.057 1.628
Fe Sr Te
3 1 1
Direct
0.500 0.000 0.000 Fe
0.000 0.000 0.500 Fe
0.000 0.500 0.000 Fe
0.500 0.500 0.500 Sr
0.000 0.000 0.000 Te
```

Computed properties:
Energy relative to the elements, uncorrected (eV/atom): 0.70
N(E_F) (states/eV/f.u.): 3.77

***

[15]
A plane-wave DFT calculation with PBE was carried out for ZnMo2Os after structural relaxation.

Geometry as POSCAR:
```
ZnMo2Os
1.0
-0.909 -2.640 0.015
2.334 -0.796 1.310
-3.423 1.219 6.840
Zn Mo Os
1 2 1
Direct
0.500 0.500 0.750 Zn
0.000 0.000 0.006 Mo
0.000 0.000 0.494 Mo
0.500 0.500 0.250 Os
```

Computed properties:
DFT formation energy (eV/atom): 0.0868
N(E_F) (states/eV/f.u.): 3.03

***

[16]
A plane-wave DFT calculation with PBE was carried out for MnBAu after structural relaxation.

Geometry as POSCAR:
```
MnBAu
1.0
-3.229 -0.349 -1.872
-0.652 -2.436 1.579
-3.176 3.927 4.746
B Mn Au
2 2 2
Direct
0.000 0.000 0.210 B
0.000 0.500 0.710 B
0.000 0.500 0.420 Mn
0.000 0.000 0.920 Mn
0.500 0.000 0.623 Au
0.500 0.500 0.123 Au
```

Computed properties:
DFT formation energy (eV/atom): 0.4202
N(E_F) (states/eV/f.u.): 1.79

***

[17]
A plane-wave DFT calculation with PBE was carried out for PmSi2Au5 after structural relaxation.

Geometry as POSCAR:
```
PmSi2Au5
1.0
-1.302 3.392 -2.285
-4.705 -1.874 -4.133
-5.974 1.761 1.986
Au Si Pm
5 2 1
Direct
0.355 0.442 0.848 Au
0.645 0.152 0.558 Au
0.355 0.848 0.442 Au
0.000 0.500 0.500 Au
0.645 0.558 0.152 Au
0.753 0.747 0.747 Si
0.247 0.253 0.253 Si
0.000 0.000 0.000 Pm
```

Computed properties:
Energy relative to the elements, uncorrected (eV/atom): -0.36
N(E_F) (states/eV/f.u.): 2.97

***

[18]
A plane-wave DFT calculation with PBE was carried out for Rb2SiAs2 after structural relaxation.

Geometry as POSCAR:
```
Rb2SiAs2
1.0
8.546 -0.009 -0.004
2.902 8.038 0.004
-5.355 -4.540 4.873
Si Rb As
2 4 4
Direct
0.500 0.750 0.250 Si
0.500 0.250 0.750 Si
0.310 0.144 0.166 Rb
0.022 0.356 0.666 Rb
0.690 0.856 0.834 Rb
0.978 0.644 0.334 Rb
0.438 0.597 0.842 As
0.755 0.097 0.658 As
0.562 0.403 0.158 As
0.245 0.903 0.342 As
```

Computed properties:
Energy relative to the elements, uncorrected (eV/atom): -0.45

***

[19]
A plane-wave DFT calculation with PBE was carried out for Sc5Zn2Sn after structural relaxation.

Geometry as POSCAR:
```
Sc5Zn2Sn
1.0
6.827 0.000 -3.223
-1.521 6.655 -3.223
-0.382 -0.479 8.034
Sc Sn Zn
10 2 4
Direct
0.500 0.500 0.000 Sc
0.802 0.992 0.294 Sc
0.198 0.008 0.706 Sc
0.302 0.802 0.294 Sc
0.698 0.198 0.706 Sc
0.992 0.492 0.294 Sc
0.000 0.000 0.000 Sc
0.508 0.698 0.706 Sc
0.492 0.302 0.294 Sc
0.008 0.508 0.706 Sc
0.750 0.750 0.500 Sn
0.250 0.250 0.500 Sn
0.364 0.864 0.000 Zn
0.864 0.636 0.000 Zn
0.636 0.136 0.000 Zn
0.136 0.364 0.000 Zn
```

Computed properties:
DFT formation energy (eV/atom): -0.4019
N(E_F) (states/eV/f.u.): 6.26

***

[20]
A plane-wave DFT calculation with PBE was carried out for TiInI2N after structural relaxation.

Geometry as POSCAR:
```
TiInI2N
1.0
-4.604 3.754 -1.356
-2.241 -4.145 -3.864
-2.134 -1.564 2.915
I N In Ti
2 1 1 1
Direct
0.000 0.500 0.000 I
0.500 0.000 0.000 I
0.000 0.000 0.500 N
0.000 0.000 0.000 In
0.500 0.500 0.500 Ti
```

Computed properties:
Energy relative to the elements, uncorrected (eV/atom): 0.80
N(E_F) (states/eV/f.u.): 6.85

***

| no. | energy (eV for the cell shown) |
| --- | --- |
| 1 | -25.26 |
| 2 | -18.78 |
| 3 | -4.28 |
| 4 | -9.34 |
| 5 | -51.28 |
| 6 | -30.42 |
| 7 | -72.82 |
| 8 | -12.23 |
| 9 | -30.47 |
| 10 | -36.97 |
| 11 | -13.83 |
| 12 | -22.43 |
| 13 | -22.87 |
| 14 | -26.69 |
| 15 | -33.82 |
| 16 | -35.73 |
| 17 | -34.86 |
| 18 | -37.81 |
| 19 | -82.85 |
| 20 | -18.07 |